Record 1
The following is a PBE-GGA calculation of crystalline Ba2SrZnO at its relaxed geometry, from Alexandria via LeMat-Bulk. Values from VASP.

```
&SYSTEM
  ibrav = 0, nat = 5, ntyp = 4
/
ATOMIC_SPECIES
Ba 137.33 Ba.upf
O 16.00 O.upf
Sr 87.62 Sr.upf
Zn 65.41 Zn.upf
CELL_PARAMETERS angstrom
5.662 0.000 0.000
0.000 5.662 0.000
0.000 0.000 4.991
ATOMIC_POSITIONS angstrom
Ba 2.831 0.000 0.000
Ba 0.000 2.831 0.000
O 0.000 0.000 0.000
Sr 0.000 0.000 2.495
Zn 2.831 2.831 2.495
```

Results
Spin magnetization   0.00 μB/f.u.
Space group   P4/mmm
Formation energy from raw total energies   -497 kJ/mol of formula units



Record 2
The following is a PBE-GGA calculation of crystalline BaSrZn2O4 at its relaxed geometry, from Alexandria via LeMat-Bulk. Values from VASP.

```
&SYSTEM
  ibrav = 0, nat = 8, ntyp = 4
/
ATOMIC_SPECIES
O 16.00 O.upf
Sr 87.62 Sr.upf
Zn 65.41 Zn.upf
Ba 137.33 Ba.upf
CELL_PARAMETERS angstrom
6.001 0.000 0.000
3.001 4.727 0.165
3.001 0.552 4.698
ATOMIC_POSITIONS angstrom
O 7.620 2.290 0.488
O 7.620 2.989 4.375
O 4.383 4.605 2.620
O 4.383 0.674 2.242
Sr 6.001 2.639 2.431
Zn 9.002 3.851 3.547
Zn 3.001 1.428 1.316
Ba 0.000 0.000 0.000
```

Results
Spin magnetization   0.00 μB/f.u.
Space group   I222
Formation energy from raw total energies   -1482 kJ/mol of formula units



Record 3
The following is a PBE-GGA calculation of crystalline BaSr2ZnO4 at its relaxed geometry, from Alexandria via LeMat-Bulk. Values from VASP.

```
&SYSTEM
  ibrav = 0, nat = 16, ntyp = 4
/
ATOMIC_SPECIES
Zn 65.41 Zn.upf
Sr 87.62 Sr.upf
O 16.00 O.upf
Ba 137.33 Ba.upf
CELL_PARAMETERS angstrom
-3.254 -1.369 0.818
0.907 -1.080 -6.227
5.292 -10.981 2.675
ATOMIC_POSITIONS angstrom
Zn 1.861 -10.096 -1.462
Zn 1.083 -3.334 -1.271
Sr 2.356 -7.298 -2.840
Sr -1.572 -1.648 -0.986
Sr 0.588 -6.132 0.106
Sr 4.516 -11.782 -1.747
O 2.663 -11.114 0.025
O 2.646 -5.491 1.338
O -0.415 -3.700 0.186
O 3.359 -9.730 -2.920
O 0.281 -2.316 -2.758
O 1.599 -5.051 -2.092
O 0.000 0.000 0.000
O 1.345 -8.379 -0.641
Ba -0.872 -4.821 -3.508
Ba 3.816 -8.610 0.774
```

Results
Spin magnetization   0.10 μB/f.u.
Space group   Cmcm
Formation energy from raw total energies   -1814 kJ/mol of formula units



Record 4
The following is a PBE-GGA calculation of crystalline Ba4Sr3ZnO8 at its relaxed geometry, from Alexandria via LeMat-Bulk. Values from VASP.

```
&SYSTEM
  ibrav = 0, nat = 16, ntyp = 4
/
ATOMIC_SPECIES
O 16.00 O.upf
Ba 137.33 Ba.upf
Zn 65.41 Zn.upf
Sr 87.62 Sr.upf
CELL_PARAMETERS angstrom
7.403 0.000 0.000
0.000 7.470 -0.021
-3.701 -3.743 5.523
ATOMIC_POSITIONS angstrom
O 1.983 1.639 5.460
O 5.685 2.088 0.042
O -1.983 1.639 5.460
O 3.701 0.093 2.576
O 0.000 0.088 2.810
O 0.000 3.634 2.926
O 3.701 3.638 2.693
O 1.718 2.088 0.042
Ba 0.000 0.000 0.000
Ba -1.851 -1.871 2.761
Ba 3.701 0.000 0.000
Ba 1.851 -1.871 2.761
Zn 0.000 3.735 -0.010
Sr 1.851 1.863 2.751
Sr -1.851 1.863 2.751
Sr 3.701 3.735 -0.010
```

Results
Spin magnetization   0.00 μB/f.u.
Space group   C2/m
Formation energy from raw total energies   -3546 kJ/mol of formula units



Record 5
The following is a PBE-GGA calculation of crystalline Ba4SrZr3O12 at its relaxed geometry, from Alexandria via LeMat-Bulk. Values from VASP.

```
&SYSTEM
  ibrav = 0, nat = 20, ntyp = 4
/
ATOMIC_SPECIES
O 16.00 O.upf
Sr 87.62 Sr.upf
Zr 91.22 Zr.upf
Ba 137.33 Ba.upf
CELL_PARAMETERS angstrom
-0.349 -5.973 -4.602
-1.433 -2.191 7.079
-5.117 5.122 -2.133
ATOMIC_POSITIONS angstrom
O -4.371 0.307 -2.131
O -4.005 -0.623 -4.934
O -4.642 1.253 0.789
O -4.799 2.147 3.624
O -1.305 -5.981 1.815
O -1.752 0.784 1.323
O -0.476 -2.183 0.663
O -2.257 -4.295 -0.445
O -1.462 -0.228 -1.801
O -2.529 -3.349 2.475
O -3.721 -0.576 3.092
O -3.179 -2.466 -2.748
Sr 0.000 0.000 0.000
Zr -3.275 1.465 2.473
Zr -2.733 -0.426 -3.367
Zr -0.891 -4.082 1.239
Ba -0.174 -2.986 -2.301
Ba -0.717 -1.095 3.540
Ba -2.559 2.561 -1.067
Ba -3.450 -1.521 0.172
```

Results
Spin magnetization   2.07 μB/f.u.
Space group   Im-3m
Formation energy from raw total energies   -5467 kJ/mol of formula units



Record 6
The following is a PBE-GGA calculation of crystalline BaSr3Zr4O12 at its relaxed geometry, from Alexandria via LeMat-Bulk. Values from VASP.

```
&SYSTEM
  ibrav = 0, nat = 20, ntyp = 4
/
ATOMIC_SPECIES
O 16.00 O.upf
Zr 91.22 Zr.upf
Sr 87.62 Sr.upf
Ba 137.33 Ba.upf
CELL_PARAMETERS angstrom
8.351 0.000 0.000
0.000 5.902 0.008
0.000 0.009 5.934
ATOMIC_POSITIONS angstrom
O 0.000 5.452 0.183
O 6.620 1.328 4.296
O 2.269 4.289 4.604
O 0.000 3.374 3.011
O 1.771 1.668 1.298
O 6.083 4.289 4.604
O 6.581 1.668 1.298
O 5.937 4.641 1.702
O 1.732 1.328 4.296
O 2.414 4.641 1.702
O 4.176 2.533 2.981
O 4.176 0.298 5.781
Zr 2.068 2.956 2.953
Zr 6.283 2.956 2.953
Zr 6.291 5.896 0.015
Zr 2.061 5.896 0.015
Sr 0.000 2.920 5.748
Sr 0.000 0.021 2.828
Sr 4.176 5.864 3.139
Ba 4.176 2.979 0.084
```

Results
Spin magnetization   0.00 μB/f.u.
Space group   Pm
Formation energy from raw total energies   -6231 kJ/mol of formula units



Record 7
The following is a PBE-GGA calculation of crystalline BaSrZr2O6 at its relaxed geometry, from Alexandria via LeMat-Bulk. Values from VASP.

```
&SYSTEM
  ibrav = 0, nat = 10, ntyp = 4
/
ATOMIC_SPECIES
O 16.00 O.upf
Ba 137.33 Ba.upf
Zr 91.22 Zr.upf
Sr 87.62 Sr.upf
CELL_PARAMETERS angstrom
4.186 -4.214 0.000
4.186 4.214 0.000
0.000 0.000 4.246
ATOMIC_POSITIONS angstrom
O 4.186 -2.394 0.000
O 2.093 2.107 2.123
O 4.186 2.394 0.000
O 5.941 0.000 0.000
O 2.093 -2.107 2.123
O 2.430 0.000 0.000
Ba 0.000 0.000 2.123
Zr 2.093 2.107 0.000
Zr 2.093 -2.107 0.000
Sr 4.186 0.000 2.123
```

Results
Spin magnetization   0.00 μB/f.u.
Space group   Cmmm
Formation energy from raw total energies   -3097 kJ/mol of formula units
Excess energy over the best structure of this formula in the dataset   0.000 eV/atom



Record 8
The following is a PBE-GGA calculation of crystalline BaSrZr2O6 at its relaxed geometry, from Alexandria via LeMat-Bulk. Values from VASP.

```
&SYSTEM
  ibrav = 0, nat = 10, ntyp = 4
/
ATOMIC_SPECIES
Zr 91.22 Zr.upf
O 16.00 O.upf
Sr 87.62 Sr.upf
Ba 137.33 Ba.upf
CELL_PARAMETERS angstrom
4.226 0.000 0.000
0.000 4.226 0.000
0.000 0.000 8.449
ATOMIC_POSITIONS angstrom
Zr 0.000 0.000 2.140
Zr 0.000 0.000 6.309
O 2.113 0.000 2.169
O 0.000 2.113 6.281
O 0.000 0.000 0.000
O 0.000 2.113 2.169
O 0.000 0.000 4.225
O 2.113 0.000 6.281
Sr 2.113 2.113 4.225
Ba 2.113 2.113 0.000
```

Results
Spin magnetization   0.00 μB/f.u.
Space group   P4/mmm
Formation energy from raw total energies   -3093 kJ/mol of formula units
Excess energy over the best structure of this formula in the dataset   0.004 eV/atom